Below is TaNb6Au2 after structural relaxation, with properties calculated at the PBE-GGA level.

Lattice parameters (Å, degrees): 3.3283 7.1254 7.9824 63.49 84.74 78.15
With the nearest neighbours (Å) after each atom.
Atoms (fractional coordinates):
Au 0.5000 0.1584 0.6831  2 Ta 2.81, 6 Nb 2.82-2.93
Nb 0.6670 0.6646 0.0000  6 Nb 2.79-2.89, 2 Ta 2.83-2.91
Nb 0.8254 0.5000 0.6720  5 Nb 2.82-2.89, 3 Au 2.82-2.93
Nb 0.3330 0.3354 0.0000  6 Nb 2.79-2.89, 2 Ta 2.83-2.91
Nb 0.1746 0.8280 0.6720  5 Nb 2.82-2.89, 3 Au 2.82-2.93
Nb 0.1746 0.5000 0.3280  5 Nb 2.82-2.89, 3 Au 2.82-2.93
Nb 0.8254 0.1720 0.3280  5 Nb 2.82-2.89, 3 Au 2.82-2.93
Au 0.5000 0.8416 0.3169  2 Ta 2.81, 6 Nb 2.82-2.93
Ta 0.0000 0.0000 0.0000  4 Au 2.81, 4 Nb 2.83-2.91

Energy relative to the elements (eV/atom): 0.083
SG: C2/m, No. 12

Below is TaNb14Au after structural relaxation, with properties calculated at the PBE-GGA level.

Lattice parameters (Å, degrees): 6.6225 6.6225 6.6187 90.00 90.00 90.00
With the nearest neighbours (Å) after each atom.
Atoms (fractional coordinates):
Nb 0.3750 0.3750 0.0000  8 Nb 2.83
Nb 0.1278 0.6222 0.2468  6 Nb 2.83-2.88, 1 Ta 2.86, 1 Au 2.90
Nb 0.1279 0.1279 0.7532  6 Nb 2.83-2.88, 1 Ta 2.86, 1 Au 2.90
Nb 0.8750 0.3750 0.0000  8 Nb 2.86
Nb 0.1279 0.1279 0.2468  6 Nb 2.83-2.88, 1 Ta 2.86, 1 Au 2.90
Nb 0.1278 0.6222 0.7532  6 Nb 2.83-2.88, 1 Ta 2.86, 1 Au 2.90
Nb 0.8750 0.3750 0.5000  8 Nb 2.88
Nb 0.6222 0.1278 0.2468  6 Nb 2.83-2.88, 1 Ta 2.86, 1 Au 2.90
Nb 0.6221 0.6221 0.2468  6 Nb 2.83-2.88, 1 Ta 2.86, 1 Au 2.90
Au 0.8750 0.8750 0.5000  8 Nb 2.90
Nb 0.6222 0.1278 0.7532  6 Nb 2.83-2.88, 1 Ta 2.86, 1 Au 2.90
Ta 0.3750 0.3750 0.5000  8 Nb 2.86
Nb 0.8750 0.8750 0.0000  8 Nb 2.88
Nb 0.6221 0.6221 0.7532  6 Nb 2.83-2.88, 1 Ta 2.86, 1 Au 2.90
Nb 0.3750 0.8750 0.0000  8 Nb 2.86
Nb 0.3750 0.8750 0.5000  8 Nb 2.88

Energy relative to the elements (eV/atom): -0.070
SG: P4/mmm, No. 123

Below is Ta2Nb2Au after structural relaxation, with properties calculated at the PBE-GGA level.

Lattice parameters (Å, degrees): 3.8111 3.8111 7.4120 75.10 75.10 90.00
With the nearest neighbours (Å) after each atom.
Atoms (fractional coordinates):
Ta 0.2500 0.7500 0.5000  4 Ta 2.69, 4 Nb 2.91
Nb 0.5907 0.5907 0.8186  1 Nb 2.50
Ta 0.7500 0.2500 0.5000  4 Ta 2.69, 4 Nb 2.91
Au 0.0000 0.0000 0.0000  8 Nb 2.97
Nb 0.4093 0.4093 0.1814  1 Nb 2.50

Energy relative to the elements (eV/atom): 0.717
SG: I4/mmm, No. 139